# AcTlAuO4 PBE relaxed
# E_form (uncorrected)	-1.25	eV/atom
# total energy	-5.47	eV per atom
data_AcTlAuO4
_space_group_name_H-M_alt 'C m c m'
_space_group_IT_number 63
_space_group_name_Hall '-C 2c 2'
_cell_length_a 6.646
_cell_length_b 9.876
_cell_length_c 7.797
_cell_angle_alpha 90.00
_cell_angle_beta 90.00
_cell_angle_gamma 90.00
loop_
_atom_site_label
_atom_site_fract_x
_atom_site_fract_y
_atom_site_fract_z
Ac1 0.000 0.000 0.000
Tl1 0.000 0.365 0.250
Au1 0.000 0.295 0.750
O1 0.000 0.254 0.007
O2 0.241 0.002 0.250